Here is an optimized crystal structure of DyNiP2 from Alexandria via LeMat-Bulk. Energies are from PBE-GGA.

Cell lengths 5.3295, 5.3295, 5.3295 Å; angles 138.07, 138.07, 60.80 degrees
Last column: nearest neighbours and their distance in Å.
Fractional coordinates of all 4 atoms:
Dy (0.0000, 0.0000, 0.0000)  8 P 2.93, 4 Ni 2.99
Ni (0.7500, 0.2500, 0.5000)  4 P 2.23
P (0.3752, 0.3752, 0.0000)  2 Ni 2.23, 1 P 2.29
P (0.6248, 0.6248, 0.0000)  2 Ni 2.23, 1 P 2.29

The value obtained for the formation energy is -1.04 eV per atom. The total moment comes out at 0.000 μB/atom. The value obtained for the volume is 66.9 Å³/cell. As for the space group: I-4m2, No. 119. Its crystal system is tetragonal. The density of states at the Fermi level comes out at 1.78 states/eV/cell.